(1)
An optimized crystal structure of KTaMo2, computed with GGA-PBE.

Cell and atoms, written as POSCAR:
```
KTaMo2
1.0
-1.593 5.664 1.540
-4.844 0.696 3.612
5.673 -1.914 -1.074
Mo K Ta
2 1 1
Cartesian
-0.286 0.283 0.229
-1.140 0.927 2.513
0.385 3.510 1.558
-2.942 2.907 2.355
```

## Properties
* DFT total energy: -7.38 eV/atom
* ΔH_f (0 K): 1.27 eV/atom
* volume: 85.0 Å³/f.u.
* excess energy over the best structure of this formula in the dataset: 600.9 meV/atom
* space-group type: Imm2
* theoretical density: 8.05 g/cm³

(2)
An optimized crystal structure of KTaMo3, computed with GGA-PBE.

Cell and atoms, written as POSCAR:
```
KTaMo3
1.0
-1.205 0.728 -4.726
-4.775 -0.449 1.148
-0.261 4.857 0.815
K Ta Mo
1 1 3
Cartesian
-3.120 2.568 -1.382
0.000 0.000 0.000
-0.130 2.428 0.407
-2.388 -0.224 0.574
-0.602 0.364 -2.363
```

## Properties
* DFT total energy: -7.17 eV/atom
* ΔH_f (0 K): 1.92 eV/atom
* volume: 119.9 Å³/f.u.
* excess energy over the best structure of this formula in the dataset: 0.0 meV/atom
* space-group type: Pm-3m
* theoretical density: 7.03 g/cm³

(3)
An optimized crystal structure of KTaMo2, computed with GGA-PBE.

Cell and atoms, written as POSCAR:
```
KTaMo2
1.0
5.786 -0.012 -0.014
-2.783 5.073 -0.014
0.247 0.416 2.604
Mo Ta K
2 1 1
Cartesian
1.502 2.530 -0.014
0.000 0.000 0.000
3.017 0.202 1.295
-1.268 2.744 1.295
```

## Properties
* DFT total energy: -7.32 eV/atom
* ΔH_f (0 K): 1.33 eV/atom
* volume: 76.4 Å³/f.u.
* excess energy over the best structure of this formula in the dataset: 661.2 meV/atom
* space-group type: C2/m
* theoretical density: 8.95 g/cm³

(4)
An optimized crystal structure of KTaMo2, computed with GGA-PBE.

Cell and atoms, written as POSCAR:
```
KTaMo2
1.0
-0.467 -2.822 0.354
1.466 1.160 2.193
-9.074 2.122 4.941
Mo K Ta
2 1 1
Cartesian
-4.126 0.965 2.247
-0.412 0.096 0.224
-6.306 0.761 4.980
-1.769 -0.300 2.509
```

## Properties
* DFT total energy: -7.96 eV/atom
* ΔH_f (0 K): 0.69 eV/atom
* volume: 80.9 Å³/f.u.
* excess energy over the best structure of this formula in the dataset: 19.7 meV/atom
* space-group type: Cmmm
* theoretical density: 8.45 g/cm³

(5)
An optimized crystal structure of KTaMo2, computed with GGA-PBE.

Cell and atoms, written as POSCAR:
```
KTaMo2
1.0
4.830 0.000 0.000
0.000 4.830 0.000
2.415 2.415 9.130
Ta Mo K
2 4 2
Cartesian
4.830 2.415 4.565
0.000 0.000 0.000
4.462 1.208 2.282
3.623 2.784 6.847
6.038 2.047 6.847
5.199 3.623 2.282
2.415 4.830 4.565
2.415 2.415 0.000
```

## Properties
* DFT total energy: -6.81 eV/atom
* ΔH_f (0 K): 1.84 eV/atom
* volume: 106.5 Å³/f.u.
* excess energy over the best structure of this formula in the dataset: 1172.1 meV/atom
* space-group type: I-42d
* theoretical density: 6.42 g/cm³

(6)
An optimized crystal structure of KTaMo, computed with GGA-PBE.

Cell and atoms, written as POSCAR:
```
KTaMo
1.0
-4.340 -2.033 5.570
-1.362 -5.595 4.564
4.424 4.694 -3.520
Mo Ta K
1 1 1
Cartesian
-1.668 -2.232 2.964
-4.072 -5.448 7.237
-5.664 -7.578 10.066
```

## Properties
* DFT total energy: -7.00 eV/atom
* ΔH_f (0 K): 0.93 eV/atom
* volume: 78.5 Å³/f.u.
* excess energy over the best structure of this formula in the dataset: 115.3 meV/atom
* space-group type: I4mm
* theoretical density: 6.69 g/cm³

(7)
An optimized crystal structure of KTaMo2, computed with GGA-PBE.

Cell and atoms, written as POSCAR:
```
KTaMo2
1.0
-3.078 -0.366 4.877
-1.537 -3.222 -4.544
1.567 -1.937 0.844
Mo K Ta
2 1 1
Cartesian
0.000 0.000 0.000
-2.308 -1.794 0.166
0.015 -2.580 -1.850
-0.756 -1.152 2.860
```

## Properties
* DFT total energy: -7.31 eV/atom
* ΔH_f (0 K): 1.34 eV/atom
* volume: 76.8 Å³/f.u.
* excess energy over the best structure of this formula in the dataset: 669.3 meV/atom
* space-group type: Cmmm
* theoretical density: 8.91 g/cm³

(8)
An optimized crystal structure of KTaMo2, computed with GGA-PBE.

Cell and atoms, written as POSCAR:
```
KTaMo2
1.0
4.752 -0.024 -0.003
4.008 2.553 -0.003
0.015 0.004 7.772
Mo Ta K
2 1 1
Cartesian
2.164 0.625 1.868
8.719 2.518 0.704
4.447 1.284 3.173
6.592 1.903 5.900
```

## Properties
* DFT total energy: -7.63 eV/atom
* ΔH_f (0 K): 1.02 eV/atom
* volume: 95.1 Å³/f.u.
* excess energy over the best structure of this formula in the dataset: 349.7 meV/atom
* space-group type: Cm
* theoretical density: 7.20 g/cm³

(9)
An optimized crystal structure of KTaMo2, computed with GGA-PBE.

Cell and atoms, written as POSCAR:
```
KTaMo2
1.0
3.160 0.000 0.000
0.000 3.160 0.000
0.000 0.000 9.263
K Mo Ta
1 2 1
Cartesian
1.580 1.580 6.947
0.000 0.000 0.768
0.000 0.000 3.864
1.580 1.580 2.316
```

## Properties
* DFT total energy: -7.77 eV/atom
* ΔH_f (0 K): 0.88 eV/atom
* volume: 92.5 Å³/f.u.
* excess energy over the best structure of this formula in the dataset: 209.6 meV/atom
* space-group type: P4/mmm
* theoretical density: 7.39 g/cm³

(10)
An optimized crystal structure of KTaMo2, computed with GGA-PBE.

Cell and atoms, written as POSCAR:
```
KTaMo2
1.0
-4.271 -1.060 1.734
-0.395 -1.923 4.303
-1.800 2.533 3.566
Mo Ta K
2 1 1
Cartesian
0.000 0.000 0.000
-1.616 -0.112 2.401
-4.849 -0.337 7.202
-3.233 -0.225 4.801
```

## Properties
* DFT total energy: -7.16 eV/atom
* ΔH_f (0 K): 1.49 eV/atom
* volume: 74.8 Å³/f.u.
* excess energy over the best structure of this formula in the dataset: 820.0 meV/atom
* space-group type: F-43m
* theoretical density: 9.14 g/cm³

(11)
An optimized crystal structure of KTaMo2, computed with GGA-PBE.

Cell and atoms, written as POSCAR:
```
KTaMo2
1.0
-1.780 -1.231 -1.619
0.324 -3.837 2.562
-5.754 2.480 4.442
Ta Mo K
1 2 1
Cartesian
-2.167 -1.914 1.582
-2.338 1.008 1.805
-0.539 0.232 0.416
-5.044 -0.674 3.802
```

## Properties
* DFT total energy: -7.80 eV/atom
* ΔH_f (0 K): 0.85 eV/atom
* volume: 96.0 Å³/f.u.
* excess energy over the best structure of this formula in the dataset: 184.2 meV/atom
* space-group type: Pmmm
* theoretical density: 7.12 g/cm³

(12)
An optimized crystal structure of KTaMo2, computed with GGA-PBE.

Cell and atoms, written as POSCAR:
```
KTaMo2
1.0
4.967 -0.011 0.000
4.243 2.582 0.000
-0.004 -0.001 7.406
Ta Mo K
1 2 1
Cartesian
2.301 0.642 1.852
4.662 1.301 3.013
9.150 2.554 0.692
6.904 1.927 5.555
```

## Properties
* DFT total energy: -7.61 eV/atom
* ΔH_f (0 K): 1.05 eV/atom
* volume: 95.3 Å³/f.u.
* excess energy over the best structure of this formula in the dataset: 376.3 meV/atom
* space-group type: C2/m
* theoretical density: 7.18 g/cm³

(13)
An optimized crystal structure of KTaMo2, computed with GGA-PBE.

Cell and atoms, written as POSCAR:
```
KTaMo2
1.0
4.615 0.000 0.000
0.000 4.079 0.000
0.000 0.000 4.079
Ta Mo K
1 2 1
Cartesian
2.308 2.039 0.000
0.000 2.039 2.039
0.000 0.000 0.000
2.308 0.000 2.039
```

## Properties
* DFT total energy: -6.87 eV/atom
* ΔH_f (0 K): 1.79 eV/atom
* volume: 76.8 Å³/f.u.
* excess energy over the best structure of this formula in the dataset: 1115.8 meV/atom
* space-group type: P4/mmm
* theoretical density: 8.91 g/cm³

(14)
An optimized crystal structure of KTaMo2, computed with GGA-PBE.

Cell and atoms, written as POSCAR:
```
KTaMo2
1.0
-1.566 1.071 1.913
-1.487 -4.962 1.561
4.051 -0.145 3.399
Mo Ta K
2 1 1
Cartesian
-1.527 -1.946 1.737
0.000 0.000 0.000
1.242 0.463 2.656
1.282 -2.554 2.480
```

## Properties
* DFT total energy: -7.07 eV/atom
* ΔH_f (0 K): 1.58 eV/atom
* volume: 77.1 Å³/f.u.
* excess energy over the best structure of this formula in the dataset: 908.2 meV/atom
* space-group type: Pmmm
* theoretical density: 8.87 g/cm³

(15)
An optimized crystal structure of KTaMo2, computed with GGA-PBE.

Cell and atoms, written as POSCAR:
```
KTaMo2
1.0
-8.619 7.406 0.291
-9.325 6.132 -2.159
-10.190 5.028 0.322
Ta Mo K
1 2 1
Cartesian
-7.034 4.641 -0.387
-27.865 18.388 -1.531
-14.336 9.460 -0.788
-21.101 13.924 -1.160
```

## Properties
* DFT total energy: -7.73 eV/atom
* ΔH_f (0 K): 0.92 eV/atom
* volume: 79.1 Å³/f.u.
* excess energy over the best structure of this formula in the dataset: 251.3 meV/atom
* space-group type: R-3m
* theoretical density: 8.65 g/cm³